(1)
Density functional theory data (PBE) for an optimized crystal structure of ThHgPt.

```
ThHgPt
1.0
3.8417 0.0000 0.0000
0.0000 3.8417 0.0000
0.0000 0.0000 9.7585
Th Hg Pt
2 2 2
direct
0.0000 0.0000 0.0000 Th
0.5000 0.5000 0.5000 Th
0.0000 0.0000 0.6860 Hg
0.5000 0.5000 0.1860 Hg
0.0000 0.0000 0.3616 Pt
0.5000 0.5000 0.8616 Pt
```

SG: No. 107
Formation enthalpy at 0 K (eV/atom): -0.6442
Total DFT energy (no corrections) (eV per formula unit): -15.69

(2)
Density functional theory data (PBE) for an optimized crystal structure of Th2HgPt.

```
Th2HgPt
1.0
7.0379 0.0000 0.0000
0.0000 4.0703 0.0000
-2.3622 0.0000 8.1713
Th Hg Pt
4 2 2
direct
0.2377 0.0000 0.2125 Th
0.2623 0.5000 0.7875 Th
0.7377 0.5000 0.2125 Th
0.7623 0.0000 0.7875 Th
0.0000 0.0000 0.5000 Hg
0.5000 0.5000 0.5000 Hg
0.0000 0.5000 0.0000 Pt
0.5000 0.0000 0.0000 Pt
```

SG: No. 12
Formation enthalpy at 0 K (eV/atom): -0.6131
Total DFT energy (no corrections) (eV per formula unit): -23.63
ΔE to the lowest computed polymorph (eV/f.u.): 0.03

(3)
Density functional theory data (PBE) for an optimized crystal structure of Th7Hg2Pt2.

```
Th7Hg2Pt2
1.0
4.2024 -5.6129 0.0000
4.2024 5.6129 0.0000
0.0000 0.0000 7.0748
Th Hg Pt
7 2 2
direct
0.0000 0.0000 0.0000 Th
0.0000 0.5000 0.2759 Th
0.0000 0.5000 0.7241 Th
0.5000 0.0000 0.2759 Th
0.5000 0.0000 0.7241 Th
0.5000 0.5000 0.2536 Th
0.5000 0.5000 0.7464 Th
0.1673 0.1673 0.5000 Hg
0.8327 0.8327 0.5000 Hg
0.2678 0.7322 0.0000 Pt
0.7322 0.2678 0.0000 Pt
```

SG: No. 65
Formation enthalpy at 0 K (eV/atom): -0.2648
Total DFT energy (no corrections) (eV per formula unit): -67.54

(4)
Density functional theory data (PBE) for an optimized crystal structure of Th5Hg2Pt.

```
Th5Hg2Pt
1.0
2.9518 -6.7789 0.0000
2.9518 6.7789 0.0000
0.0000 0.0000 12.0757
Th Hg Pt
10 4 2
direct
0.0648 0.9352 0.6056 Th
0.0648 0.9352 0.8944 Th
0.3874 0.6126 0.2500 Th
0.3895 0.6105 0.5804 Th
0.3895 0.6105 0.9196 Th
0.6105 0.3895 0.0804 Th
0.6105 0.3895 0.4196 Th
0.6126 0.3874 0.7500 Th
0.9352 0.0648 0.1056 Th
0.9352 0.0648 0.3944 Th
0.1941 0.8059 0.1157 Hg
0.1941 0.8059 0.3843 Hg
0.8059 0.1941 0.6157 Hg
0.8059 0.1941 0.8843 Hg
0.2385 0.7615 0.7500 Pt
0.7615 0.2385 0.2500 Pt
```

SG: No. 63
Formation enthalpy at 0 K (eV/atom): -0.1209
Total DFT energy (no corrections) (eV per formula unit): -44.71

(5)
Density functional theory data (PBE) for an optimized crystal structure of Th2HgPt.

```
Th2HgPt
1.0
3.6805 0.0000 0.0000
0.0000 3.6805 0.0000
0.0000 0.0000 7.6740
Th Hg Pt
2 1 1
direct
0.0000 0.0000 0.2239 Th
0.0000 0.0000 0.7761 Th
0.5000 0.5000 0.5000 Hg
0.5000 0.5000 0.0000 Pt
```

SG: No. 123
Formation enthalpy at 0 K (eV/atom): -0.6203
Total DFT energy (no corrections) (eV per formula unit): -23.66
ΔE to the lowest computed polymorph (eV/f.u.): 0.00

(6)
Density functional theory data (PBE) for an optimized crystal structure of Th2HgPt.

```
Th2HgPt
1.0
4.0520 0.0000 0.0000
-2.0260 3.5091 0.0000
0.0000 0.0000 24.5857
Th Hg Pt
6 3 3
direct
0.0000 0.0000 0.0000 Th
0.0000 0.0000 0.1906 Th
0.3333 0.6667 0.6667 Th
0.3333 0.6667 0.8573 Th
0.6667 0.3333 0.3333 Th
0.6667 0.3333 0.5240 Th
0.0000 0.0000 0.7631 Hg
0.3333 0.6667 0.4297 Hg
0.6667 0.3333 0.0964 Hg
0.0000 0.0000 0.5944 Pt
0.3333 0.6667 0.2611 Pt
0.6667 0.3333 0.9277 Pt
```

SG: No. 160
Formation enthalpy at 0 K (eV/atom): -0.6018
Total DFT energy (no corrections) (eV per formula unit): -23.59
ΔE to the lowest computed polymorph (eV/f.u.): 0.07

(7)
Density functional theory data (PBE) for an optimized crystal structure of ThHg2Pt.

```
ThHg2Pt
1.0
4.3193 0.0000 0.0000
0.0000 4.2582 0.0000
-1.1130 0.0000 10.7096
Th Hg Pt
2 4 2
direct
0.2193 0.2500 0.3787 Th
0.7807 0.7500 0.6213 Th
0.1431 0.7500 0.1293 Hg
0.3529 0.7500 0.8698 Hg
0.6471 0.2500 0.1302 Hg
0.8569 0.2500 0.8707 Hg
0.2862 0.2500 0.6454 Pt
0.7138 0.7500 0.3546 Pt
```

SG: No. 11
Formation enthalpy at 0 K (eV/atom): -0.5971
Total DFT energy (no corrections) (eV per formula unit): -16.45

(8)
Density functional theory data (PBE) for an optimized crystal structure of Th2HgPt.

```
Th2HgPt
1.0
7.4436 0.0000 0.0000
0.0000 7.4436 0.0000
0.0000 0.0000 7.4436
Th Hg Pt
8 4 4
direct
0.2500 0.2500 0.2500 Th
0.2500 0.2500 0.7500 Th
0.2500 0.7500 0.2500 Th
0.2500 0.7500 0.7500 Th
0.7500 0.2500 0.2500 Th
0.7500 0.2500 0.7500 Th
0.7500 0.7500 0.2500 Th
0.7500 0.7500 0.7500 Th
0.0000 0.0000 0.0000 Hg
0.0000 0.5000 0.5000 Hg
0.5000 0.0000 0.5000 Hg
0.5000 0.5000 0.0000 Hg
0.0000 0.0000 0.5000 Pt
0.0000 0.5000 0.0000 Pt
0.5000 0.0000 0.0000 Pt
0.5000 0.5000 0.5000 Pt
```

SG: No. 225
Formation enthalpy at 0 K (eV/atom): -0.5357
Total DFT energy (no corrections) (eV per formula unit): -23.33
ΔE to the lowest computed polymorph (eV/f.u.): 0.34

(9)
Density functional theory data (PBE) for an optimized crystal structure of ThHgPt.

```
ThHgPt
1.0
4.7965 0.0000 0.0000
-2.3983 4.1539 0.0000
0.0000 0.0000 3.5010
Th Hg Pt
1 1 1
direct
0.0000 0.0000 0.0000 Th
0.6667 0.3333 0.5000 Hg
0.3333 0.6667 0.5000 Pt
```

SG: No. 187
Formation enthalpy at 0 K (eV/atom): -0.6721
Total DFT energy (no corrections) (eV per formula unit): -15.78

(10)
Density functional theory data (PBE) for an optimized crystal structure of Th2HgPt3.

```
Th2HgPt3
1.0
0.0000 6.8095 6.8095
6.8095 0.0000 6.8095
6.8095 6.8095 0.0000
Th Hg Pt
8 4 12
direct
0.2296 0.7568 0.7568 Th
0.2432 0.2432 0.2432 Th
0.2432 0.2432 0.7704 Th
0.2432 0.7704 0.2432 Th
0.7568 0.2296 0.7568 Th
0.7568 0.7568 0.2296 Th
0.7568 0.7568 0.7568 Th
0.7704 0.2432 0.2432 Th
0.0000 0.5000 0.5000 Hg
0.5000 0.0000 0.5000 Hg
0.5000 0.5000 0.0000 Hg
0.5000 0.5000 0.5000 Hg
0.1249 0.1249 0.6251 Pt
0.1249 0.6251 0.1249 Pt
0.1249 0.6251 0.6251 Pt
0.3749 0.3749 0.8751 Pt
0.3749 0.8751 0.3749 Pt
0.3749 0.8751 0.8751 Pt
0.6251 0.1249 0.1249 Pt
0.6251 0.1249 0.6251 Pt
0.6251 0.6251 0.1249 Pt
0.8751 0.3749 0.3749 Pt
0.8751 0.3749 0.8751 Pt
0.8751 0.8751 0.3749 Pt
```

SG: No. 227
Formation enthalpy at 0 K (eV/atom): -0.7023
Total DFT energy (no corrections) (eV per formula unit): -37.48

(11)
Density functional theory data (PBE) for an optimized crystal structure of ThHgPt.

```
ThHgPt
1.0
5.2372 0.0000 0.0000
-2.6186 4.5356 0.0000
0.0000 0.0000 5.9785
Th Hg Pt
2 2 2
direct
0.3333 0.6667 0.2500 Th
0.6667 0.3333 0.7500 Th
0.0000 0.0000 0.0000 Hg
0.0000 0.0000 0.5000 Hg
0.3333 0.6667 0.7500 Pt
0.6667 0.3333 0.2500 Pt
```

SG: No. 194
Formation enthalpy at 0 K (eV/atom): -0.8335
Total DFT energy (no corrections) (eV per formula unit): -16.26

(12)
Density functional theory data (PBE) for an optimized crystal structure of Th12Hg5Pt3.

```
Th12Hg5Pt3
1.0
-8.8174 8.8174 8.8174
8.8174 -8.8174 8.8174
8.8174 8.8174 -8.8174
Th Hg Pt
48 20 12
direct
0.0634 0.6344 0.3987 Th
0.0634 0.9289 0.6647 Th
0.0711 0.2357 0.1344 Th
0.0711 0.3353 0.9366 Th
0.1013 0.7357 0.6647 Th
0.1013 0.8656 0.4366 Th
0.1344 0.0711 0.2357 Th
0.1344 0.5634 0.8987 Th
0.1647 0.2357 0.6013 Th
0.1647 0.4289 0.5634 Th
0.2357 0.1344 0.0711 Th
0.2357 0.6013 0.1647 Th
0.2643 0.3353 0.8987 Th
0.2643 0.4289 0.3656 Th
0.3353 0.8987 0.2643 Th
0.3353 0.9366 0.0711 Th
0.3656 0.2643 0.4289 Th
0.3656 0.6013 0.9366 Th
0.3987 0.0634 0.6344 Th
0.3987 0.8353 0.7643 Th
0.4289 0.3656 0.2643 Th
0.4289 0.5634 0.1647 Th
0.4366 0.1013 0.8656 Th
0.4366 0.8353 0.5711 Th
0.5634 0.1647 0.4289 Th
0.5634 0.8987 0.1344 Th
0.5711 0.4366 0.8353 Th
0.5711 0.6344 0.7357 Th
0.6013 0.1647 0.2357 Th
0.6013 0.9366 0.3656 Th
0.6344 0.3987 0.0634 Th
0.6344 0.7357 0.5711 Th
0.6647 0.0634 0.9289 Th
0.6647 0.1013 0.7357 Th
0.7357 0.5711 0.6344 Th
0.7357 0.6647 0.1013 Th
0.7643 0.3987 0.8353 Th
0.7643 0.8656 0.9289 Th
0.8353 0.5711 0.4366 Th
0.8353 0.7643 0.3987 Th
0.8656 0.4366 0.1013 Th
0.8656 0.9289 0.7643 Th
0.8987 0.1344 0.5634 Th
0.8987 0.2643 0.3353 Th
0.9289 0.6647 0.0634 Th
0.9289 0.7643 0.8656 Th
0.9366 0.0711 0.3353 Th
0.9366 0.3656 0.6013 Th
0.0000 0.0000 0.0000 Hg
0.0000 0.0000 0.5000 Hg
0.0000 0.5000 0.0000 Hg
0.0000 0.5000 0.5000 Hg
0.1250 0.7500 0.8750 Hg
0.1250 0.8750 0.2500 Hg
0.2500 0.1250 0.8750 Hg
0.2500 0.6250 0.3750 Hg
0.3750 0.2500 0.6250 Hg
0.3750 0.6250 0.7500 Hg
0.5000 0.0000 0.0000 Hg
0.5000 0.0000 0.5000 Hg
0.5000 0.5000 0.0000 Hg
0.5000 0.5000 0.5000 Hg
0.6250 0.3750 0.2500 Hg
0.6250 0.7500 0.3750 Hg
0.7500 0.3750 0.6250 Hg
0.7500 0.8750 0.1250 Hg
0.8750 0.1250 0.7500 Hg
0.8750 0.2500 0.1250 Hg
0.1250 0.2500 0.3750 Pt
0.1250 0.3750 0.7500 Pt
0.2500 0.3750 0.1250 Pt
0.2500 0.8750 0.6250 Pt
0.3750 0.1250 0.2500 Pt
0.3750 0.7500 0.1250 Pt
0.6250 0.2500 0.8750 Pt
0.6250 0.8750 0.7500 Pt
0.7500 0.1250 0.3750 Pt
0.7500 0.6250 0.8750 Pt
0.8750 0.6250 0.2500 Pt
0.8750 0.7500 0.6250 Pt
```

SG: No. 230
Formation enthalpy at 0 K (eV/atom): 0.1489
Total DFT energy (no corrections) (eV per formula unit): -105.69

(13)
Density functional theory data (PBE) for an optimized crystal structure of ThHgPt.

```
ThHgPt
1.0
6.8120 0.0000 0.0000
0.0000 6.8120 0.0000
0.0000 0.0000 6.8120
Th Hg Pt
4 4 4
direct
0.0000 0.0000 0.0000 Th
0.0000 0.5000 0.5000 Th
0.5000 0.0000 0.5000 Th
0.5000 0.5000 0.0000 Th
0.0000 0.0000 0.5000 Hg
0.0000 0.5000 0.0000 Hg
0.5000 0.0000 0.0000 Hg
0.5000 0.5000 0.5000 Hg
0.2500 0.2500 0.7500 Pt
0.2500 0.7500 0.2500 Pt
0.7500 0.2500 0.2500 Pt
0.7500 0.7500 0.7500 Pt
```

SG: No. 216
Formation enthalpy at 0 K (eV/atom): -0.7166
Total DFT energy (no corrections) (eV per formula unit): -15.91

(14)
Density functional theory data (PBE) for an optimized crystal structure of Th6Hg3Pt.

```
Th6Hg3Pt
1.0
6.0256 3.4789 4.8593
-6.0256 3.4789 4.8593
0.0000 -6.9578 4.8593
Th Hg Pt
12 6 2
direct
0.0961 0.7607 0.7767 Th
0.1697 0.4470 0.5231 Th
0.2233 0.9039 0.2393 Th
0.2393 0.2233 0.9039 Th
0.4470 0.5231 0.1697 Th
0.4769 0.8303 0.5530 Th
0.5231 0.1697 0.4470 Th
0.5530 0.4769 0.8303 Th
0.7607 0.7767 0.0961 Th
0.7767 0.0961 0.7607 Th
0.8303 0.5530 0.4769 Th
0.9039 0.2393 0.2233 Th
0.0787 0.5594 0.1498 Hg
0.1498 0.0787 0.5594 Hg
0.4406 0.8502 0.9213 Hg
0.5594 0.1498 0.0787 Hg
0.8502 0.9213 0.4406 Hg
0.9213 0.4406 0.8502 Hg
0.0000 0.0000 0.0000 Pt
0.5000 0.5000 0.5000 Pt
```

SG: No. 148
Formation enthalpy at 0 K (eV/atom): -0.1289
Total DFT energy (no corrections) (eV per formula unit): -52.75

(15)
Density functional theory data (PBE) for an optimized crystal structure of Th4HgPt.

```
Th4HgPt
1.0
7.5660 0.0000 0.0000
0.0000 7.5660 0.0000
0.0000 0.0000 5.9012
Th Hg Pt
8 2 2
direct
0.1483 0.3326 0.0000 Th
0.1483 0.6674 0.5000 Th
0.3326 0.1483 0.5000 Th
0.3326 0.8517 0.0000 Th
0.6674 0.1483 0.0000 Th
0.6674 0.8517 0.5000 Th
0.8517 0.3326 0.5000 Th
0.8517 0.6674 0.0000 Th
0.5000 0.5000 0.2500 Hg
0.5000 0.5000 0.7500 Hg
0.0000 0.0000 0.2500 Pt
0.0000 0.0000 0.7500 Pt
```

SG: No. 124
Formation enthalpy at 0 K (eV/atom): -0.4489
Total DFT energy (no corrections) (eV per formula unit): -38.72
ΔE to the lowest computed polymorph (eV/f.u.): 0.00

(16)
Density functional theory data (PBE) for an optimized crystal structure of ThHgPt.

```
ThHgPt
1.0
3.8574 0.0000 0.0000
0.0000 17.5520 0.0000
0.0000 0.0000 4.3130
Th Hg Pt
4 4 4
direct
0.0000 0.0949 0.2500 Th
0.0000 0.9051 0.7500 Th
0.5000 0.4051 0.7500 Th
0.5000 0.5949 0.2500 Th
0.0000 0.2855 0.2500 Hg
0.0000 0.7145 0.7500 Hg
0.5000 0.2145 0.7500 Hg
0.5000 0.7855 0.2500 Hg
0.0000 0.4467 0.2500 Pt
0.0000 0.5533 0.7500 Pt
0.5000 0.0533 0.7500 Pt
0.5000 0.9467 0.2500 Pt
```

SG: No. 63
Formation enthalpy at 0 K (eV/atom): -0.8563
Total DFT energy (no corrections) (eV per formula unit): -16.33

(17)
Density functional theory data (PBE) for an optimized crystal structure of YThHgPt.

```
YThHgPt
1.0
7.3528 0.0000 0.0000
0.0000 7.3528 0.0000
0.0000 0.0000 7.3528
Y Th Hg Pt
4 4 4 4
direct
0.0000 0.0000 0.0000 Y
0.0000 0.5000 0.5000 Y
0.5000 0.0000 0.5000 Y
0.5000 0.5000 0.0000 Y
0.0000 0.0000 0.5000 Th
0.0000 0.5000 0.0000 Th
0.5000 0.0000 0.0000 Th
0.5000 0.5000 0.5000 Th
0.2500 0.2500 0.7500 Hg
0.2500 0.7500 0.2500 Hg
0.7500 0.2500 0.2500 Hg
0.7500 0.7500 0.7500 Hg
0.2500 0.2500 0.2500 Pt
0.2500 0.7500 0.7500 Pt
0.7500 0.2500 0.7500 Pt
0.7500 0.7500 0.2500 Pt
```

SG: No. 216
Formation enthalpy at 0 K (eV/atom): -0.6608
Total DFT energy (no corrections) (eV per formula unit): -22.87

(18)
Density functional theory data (PBE) for an optimized crystal structure of Ti2HgPt9.

```
Ti2HgPt9
1.0
3.9765 0.0000 0.0000
0.0000 3.9765 0.0000
0.0000 0.0000 12.0398
Ti Hg Pt
2 1 9
direct
0.0000 0.0000 0.1686 Ti
0.0000 0.0000 0.8314 Ti
0.0000 0.0000 0.5000 Hg
0.0000 0.5000 0.0000 Pt
0.0000 0.5000 0.3191 Pt
0.0000 0.5000 0.6809 Pt
0.5000 0.0000 0.0000 Pt
0.5000 0.0000 0.3191 Pt
0.5000 0.0000 0.6809 Pt
0.5000 0.5000 0.1605 Pt
0.5000 0.5000 0.5000 Pt
0.5000 0.5000 0.8395 Pt
```

SG: No. 123
Formation enthalpy at 0 K (eV/atom): -0.6211
Total DFT energy (no corrections) (eV per formula unit): -77.91

(19)
Density functional theory data (PBE) for an optimized crystal structure of Ti4HgPt.

```
Ti4HgPt
1.0
3.1385 0.0000 0.0000
0.0000 3.1385 0.0000
0.0000 0.0000 10.5049
Ti Hg Pt
4 1 1
direct
0.0000 0.0000 0.1533 Ti
0.0000 0.0000 0.8467 Ti
0.5000 0.5000 0.3159 Ti
0.5000 0.5000 0.6841 Ti
0.0000 0.0000 0.5000 Hg
0.5000 0.5000 0.0000 Pt
```

SG: No. 123
Formation enthalpy at 0 K (eV/atom): -0.3866
Total DFT energy (no corrections) (eV per formula unit): -40.24

(20)
Density functional theory data (PBE) for an optimized crystal structure of TiHgPt3.

```
TiHgPt3
1.0
4.7362 0.0000 0.0000
0.0000 4.7362 0.0000
0.0000 0.0000 4.7362
Ti Hg Pt
1 1 3
direct
0.0000 0.0000 0.0000 Ti
0.5000 0.5000 0.5000 Hg
0.0000 0.0000 0.5000 Pt
0.0000 0.5000 0.0000 Pt
0.5000 0.0000 0.0000 Pt
```

SG: No. 221
Formation enthalpy at 0 K (eV/atom): 0.5348
Total DFT energy (no corrections) (eV per formula unit): -23.64
ΔE to the lowest computed polymorph (eV/f.u.): 0.00